Here is a relaxed PmGaIrRu crystal from Alexandria. Energies are from GGA-PBE.

Cell lengths 6.561, 6.561, 6.561 Å; angles 90.00, 90.00, 90.00 degrees
Fractional coordinates of all 16 atoms:
Pm 0.000 0.000 0.000
Pm 0.000 0.500 0.500
Pm 0.500 0.000 0.500
Pm 0.500 0.500 0.000
Ga 0.000 0.000 0.500
Ga 0.000 0.500 0.000
Ga 0.500 0.000 0.000
Ga 0.500 0.500 0.500
Ir 0.250 0.250 0.250
Ir 0.250 0.750 0.750
Ir 0.750 0.250 0.750
Ir 0.750 0.750 0.250
Ru 0.250 0.250 0.750
Ru 0.250 0.750 0.250
Ru 0.750 0.250 0.250
Ru 0.750 0.750 0.750

Output
- Magnetization: 0.0000 μB per atom
- Electronic total energy: -107.83 eV for the cell shown
- SG: F-43m, No. 216

***

Here is a relaxed Pm2Ga4Ir3Ru crystal from Alexandria. Energies are from GGA-PBE.

Cell lengths 4.367, 4.367, 9.902 Å; angles 90.00, 90.00, 90.00 degrees
Fractional coordinates of all 10 atoms:
Pm 0.000 0.500 0.231
Pm 0.500 0.000 0.769
Ga 0.000 0.000 0.500
Ga 0.000 0.500 0.877
Ga 0.500 0.000 0.123
Ga 0.500 0.500 0.500
Ir 0.000 0.000 0.000
Ir 0.000 0.500 0.627
Ir 0.500 0.000 0.373
Ru 0.500 0.500 0.000

Output
- Magnetization: 0.0000 μB per atom
- Electronic total energy: -63.91 eV for the cell shown
- SG: P-4m2, No. 115

***

Here is a relaxed PmGa4IrRu2 crystal from Alexandria. Energies are from GGA-PBE.

Cell lengths 9.016, 9.016, 9.016 Å; angles 27.39, 27.39, 27.39 degrees
Fractional coordinates of all 8 atoms:
Pm 0.000 0.000 0.000
Ga 0.131 0.131 0.131
Ga 0.401 0.401 0.401
Ga 0.599 0.599 0.599
Ga 0.869 0.869 0.869
Ir 0.500 0.500 0.500
Ru 0.235 0.235 0.235
Ru 0.765 0.765 0.765

Output
- Magnetization: 0.0000 μB per atom
- Electronic total energy: -47.75 eV for the cell shown
- SG: R-3m, No. 166

***

Here is a relaxed PmGa3IrRu crystal from Alexandria. Energies are from GGA-PBE.

Cell lengths 6.697, 6.697, 5.865 Å; angles 90.00, 90.00, 107.01 degrees
Fractional coordinates of all 12 atoms:
Pm 0.229 0.771 0.750
Pm 0.771 0.229 0.250
Ga 0.244 0.244 0.000
Ga 0.244 0.244 0.500
Ga 0.267 0.733 0.250
Ga 0.733 0.267 0.750
Ga 0.756 0.756 0.000
Ga 0.756 0.756 0.500
Ir 0.486 0.514 0.250
Ir 0.514 0.486 0.750
Ru 0.051 0.949 0.250
Ru 0.949 0.051 0.750

Output
- Magnetization: 0.0000 μB per atom
- Electronic total energy: -68.29 eV for the cell shown
- SG: Cmcm, No. 63

***

Here is a relaxed PmGa4Ir2Ru crystal from Alexandria. Energies are from GGA-PBE.

Cell lengths 9.014, 9.014, 9.014 Å; angles 27.34, 27.34, 27.34 degrees
Fractional coordinates of all 8 atoms:
Pm 0.000 0.000 0.000
Ga 0.133 0.133 0.133
Ga 0.402 0.402 0.402
Ga 0.598 0.598 0.598
Ga 0.867 0.867 0.867
Ir 0.238 0.238 0.238
Ir 0.762 0.762 0.762
Ru 0.500 0.500 0.500

Output
- Magnetization: 0.0000 μB per atom
- Electronic total energy: -48.22 eV for the cell shown
- SG: R-3m, No. 166

***

Here is a relaxed Pm2Ga3SbIr4 crystal from Alexandria. Energies are from GGA-PBE.

Cell lengths 4.386, 4.386, 10.162 Å; angles 90.00, 90.00, 90.00 degrees
Fractional coordinates of all 10 atoms:
Pm 0.000 0.500 0.233
Pm 0.500 0.000 0.767
Ga 0.000 0.500 0.877
Ga 0.500 0.000 0.123
Ga 0.500 0.500 0.500
Sb 0.000 0.000 0.500
Ir 0.000 0.000 0.000
Ir 0.000 0.500 0.635
Ir 0.500 0.000 0.365
Ir 0.500 0.500 0.000

Output
- Magnetization: 0.0000 μB per atom
- Electronic total energy: -64.94 eV for the cell shown
- Uncorrected formation energy: -0.679 eV/atom
- SG: P-4m2, No. 115

***

Here is a relaxed Pm2ScGa3Ir4 crystal from Alexandria. Energies are from GGA-PBE.

Cell lengths 4.220, 4.220, 10.882 Å; angles 90.00, 90.00, 90.00 degrees
Fractional coordinates of all 10 atoms:
Pm 0.000 0.500 0.229
Pm 0.500 0.000 0.771
Sc 0.000 0.000 0.500
Ga 0.000 0.500 0.878
Ga 0.500 0.000 0.122
Ga 0.500 0.500 0.500
Ir 0.000 0.000 0.000
Ir 0.000 0.500 0.647
Ir 0.500 0.000 0.353
Ir 0.500 0.500 0.000

Output
- Magnetization: 0.0000 μB per atom
- Electronic total energy: -67.91 eV for the cell shown
- SG: P-4m2, No. 115

***

Here is a relaxed PmGa2SiIr crystal from Alexandria. Energies are from GGA-PBE.

Cell lengths 4.042, 4.077, 10.941 Å; angles 90.00, 90.00, 90.00 degrees
Fractional coordinates of all 10 atoms:
Pm 0.000 0.000 0.000
Pm 0.500 0.500 0.500
Ga 0.000 0.000 0.613
Ga 0.000 0.500 0.252
Ga 0.500 0.000 0.752
Ga 0.500 0.500 0.113
Si 0.000 0.000 0.388
Si 0.500 0.500 0.888
Ir 0.000 0.500 0.764
Ir 0.500 0.000 0.264

Output
- Magnetization: 0.0000 μB per atom
- Electronic total energy: -56.63 eV for the cell shown
- Uncorrected formation energy: -0.645 eV/atom
- SG: Imm2, No. 44

***

Here is a relaxed Pm2GaSi3Ir4 crystal from Alexandria. Energies are from GGA-PBE.

Cell lengths 4.189, 4.189, 10.018 Å; angles 90.00, 90.00, 90.00 degrees
Fractional coordinates of all 10 atoms:
Pm 0.000 0.500 0.248
Pm 0.500 0.000 0.752
Ga 0.500 0.500 0.000
Si 0.000 0.000 0.000
Si 0.000 0.500 0.628
Si 0.500 0.000 0.372
Ir 0.000 0.000 0.500
Ir 0.000 0.500 0.866
Ir 0.500 0.000 0.134
Ir 0.500 0.500 0.500

Output
- Magnetization: 0.0000 μB per atom
- Electronic total energy: -74.02 eV for the cell shown
- Uncorrected formation energy: -0.978 eV/atom
- SG: P-4m2, No. 115

***

Here is a relaxed Pm2GaSi2Ir5 crystal from Alexandria. Energies are from GGA-PBE.

Cell lengths 9.810, 9.810, 3.543 Å; angles 90.00, 90.00, 90.00 degrees
Fractional coordinates of all 20 atoms:
Pm 0.176 0.324 0.000
Pm 0.324 0.824 0.000
Pm 0.676 0.176 0.000
Pm 0.824 0.676 0.000
Ga 0.000 0.000 0.000
Ga 0.500 0.500 0.000
Si 0.123 0.623 0.000
Si 0.377 0.123 0.000
Si 0.623 0.877 0.000
Si 0.877 0.377 0.000
Ir 0.000 0.500 0.500
Ir 0.066 0.787 0.500
Ir 0.213 0.066 0.500
Ir 0.287 0.566 0.500
Ir 0.434 0.287 0.500
Ir 0.500 0.000 0.500
Ir 0.566 0.713 0.500
Ir 0.713 0.434 0.500
Ir 0.787 0.934 0.500
Ir 0.934 0.213 0.500

Output
- Magnetization: 0.0000 μB per atom
- Electronic total energy: -149.82 eV for the cell shown
- Uncorrected formation energy: -0.723 eV/atom
- SG: P4/mbm, No. 127

***

Here is a relaxed PmSmGa2Ir2 crystal from Alexandria. Energies are from GGA-PBE.

Cell lengths 4.388, 4.388, 7.538 Å; angles 90.00, 90.00, 120.00 degrees
Fractional coordinates of all 6 atoms:
Pm 0.000 0.000 0.000
Sm 0.000 0.000 0.500
Ga 0.333 0.667 0.253
Ga 0.667 0.333 0.747
Ir 0.333 0.667 0.748
Ir 0.667 0.333 0.252

Output
- Magnetization: 0.0000 μB per atom
- Electronic total energy: -37.76 eV for the cell shown
- SG: P-3m1, No. 164

***

Here is a relaxed Pm2GaSn3Ir4 crystal from Alexandria. Energies are from GGA-PBE.

Cell lengths 4.402, 4.402, 10.902 Å; angles 90.00, 90.00, 90.00 degrees
Fractional coordinates of all 10 atoms:
Pm 0.000 0.500 0.246
Pm 0.500 0.000 0.754
Ga 0.500 0.500 0.000
Sn 0.000 0.000 0.000
Sn 0.000 0.500 0.634
Sn 0.500 0.000 0.366
Ir 0.000 0.000 0.500
Ir 0.000 0.500 0.871
Ir 0.500 0.000 0.129
Ir 0.500 0.500 0.500

Output
- Magnetization: 0.0000 μB per atom
- Electronic total energy: -65.63 eV for the cell shown
- SG: P-4m2, No. 115